Compound: Rb4Np3TlTe8
Source: the Alexandria database
Functional: PBE
Structure: optimized geometry

Cell and atoms, written as POSCAR:
```
Rb4Np3TlTe8
1.0
4.697 2.712 8.368
-4.697 2.712 8.368
0.000 -5.423 8.368
Rb Np Tl Te
4 3 1 8
direct
0.000 0.000 0.000 Rb
0.000 0.500 0.500 Rb
0.500 0.000 0.500 Rb
0.500 0.500 0.000 Rb
0.000 0.000 0.500 Np
0.000 0.500 0.000 Np
0.500 0.000 0.000 Np
0.500 0.500 0.500 Tl
0.208 0.744 0.744 Te
0.233 0.233 0.233 Te
0.256 0.256 0.792 Te
0.256 0.792 0.256 Te
0.744 0.208 0.744 Te
0.744 0.744 0.208 Te
0.767 0.767 0.767 Te
0.792 0.256 0.256 Te
```

## Properties
- ΔE_f (raw): -0.814 eV per atom
- Electronic total energy: -83.223 eV/cell
- Total moment: 9.96 μB/f.u.
- Space-group type: R-3m, No. 166
- D(E_F): 22.2 states/eV per cell

Compound: Rb4Tm3NpTe8
Source: the Alexandria database
Functional: PBE
Structure: optimized geometry

Cell and atoms, written as POSCAR:
```
Rb4Tm3NpTe8
1.0
4.519 2.609 8.545
-4.519 2.609 8.545
0.000 -5.218 8.545
Rb Tm Np Te
4 3 1 8
direct
0.000 0.000 0.000 Rb
0.000 0.500 0.500 Rb
0.500 0.000 0.500 Rb
0.500 0.500 0.000 Rb
0.000 0.000 0.500 Tm
0.000 0.500 0.000 Tm
0.500 0.000 0.000 Tm
0.500 0.500 0.500 Np
0.226 0.736 0.736 Te
0.232 0.232 0.232 Te
0.264 0.264 0.774 Te
0.264 0.774 0.264 Te
0.736 0.226 0.736 Te
0.736 0.736 0.226 Te
0.768 0.768 0.768 Te
0.774 0.264 0.264 Te
```

## Properties
- ΔE_f (raw): -1.231 eV per atom
- Electronic total energy: -75.052 eV/cell
- Total moment: 4.00 μB/f.u.
- Space-group type: R-3m, No. 166
- D(E_F): 6.0 states/eV per cell

Compound: Rb3TmNp3Te8
Source: the Alexandria database
Functional: PBE
Structure: optimized geometry

Cell and atoms, written as POSCAR:
```
Rb3TmNp3Te8
1.0
7.810 -4.514 0.000
7.810 4.514 0.000
-5.187 0.000 8.691
Rb Tm Np Te
3 1 3 8
direct
0.000 0.000 0.000 Rb
0.000 0.500 0.000 Rb
0.500 0.000 0.000 Rb
0.000 0.000 0.500 Tm
0.000 0.500 0.500 Np
0.500 0.000 0.500 Np
0.500 0.500 0.500 Np
0.230 0.230 0.695 Te
0.231 0.736 0.696 Te
0.264 0.769 0.304 Te
0.266 0.266 0.299 Te
0.734 0.734 0.701 Te
0.736 0.231 0.696 Te
0.769 0.264 0.304 Te
0.770 0.770 0.305 Te
```

## Properties
- ΔE_f (raw): -0.947 eV per atom
- Electronic total energy: -85.542 eV/cell
- Total moment: 3.73 μB/f.u.
- Space-group type: C2/m, No. 12
- D(E_F): 20.7 states/eV per cell

Compound: Rb3Tm3NpTe8
Source: the Alexandria database
Functional: PBE
Structure: optimized geometry

Cell and atoms, written as POSCAR:
```
Rb3Tm3NpTe8
1.0
4.433 2.559 8.710
-4.433 2.559 8.710
0.000 -5.119 8.710
Rb Tm Np Te
3 3 1 8
direct
0.000 0.500 0.500 Rb
0.500 0.000 0.500 Rb
0.500 0.500 0.000 Rb
0.000 0.000 0.500 Tm
0.000 0.500 0.000 Tm
0.500 0.000 0.000 Tm
0.500 0.500 0.500 Np
0.229 0.733 0.733 Te
0.232 0.232 0.232 Te
0.267 0.267 0.771 Te
0.267 0.771 0.267 Te
0.733 0.229 0.733 Te
0.733 0.733 0.229 Te
0.768 0.768 0.768 Te
0.771 0.267 0.267 Te
```

## Properties
- ΔE_f (raw): -1.207 eV per atom
- Electronic total energy: -72.493 eV/cell
- Total moment: 2.99 μB/f.u.
- Space-group type: R-3m, No. 166
- D(E_F): 3.0 states/eV per cell

Compound: Rb2TmNpTe4
Source: the Alexandria database
Functional: PBE
Structure: optimized geometry

Cell and atoms, written as POSCAR:
```
Rb2TmNpTe4
1.0
7.907 0.000 0.000
0.000 4.540 0.000
-2.619 0.000 8.519
Rb Tm Np Te
2 1 1 4
direct
0.000 0.000 0.000 Rb
0.500 0.500 0.000 Rb
0.000 0.500 0.500 Tm
0.500 0.000 0.500 Np
0.225 0.000 0.698 Te
0.261 0.500 0.301 Te
0.739 0.500 0.699 Te
0.775 0.000 0.302 Te
```

## Properties
- ΔE_f (raw): -1.109 eV per atom
- Electronic total energy: -40.788 eV/cell
- Total moment: 4.00 μB/f.u.
- Space-group type: P2/m, No. 10
- D(E_F): 6.9 states/eV per cell

Compound: Rb2TmNp2Te6
Source: the Alexandria database
Functional: PBE
Structure: optimized geometry

Cell and atoms, written as POSCAR:
```
Rb2TmNp2Te6
1.0
3.863 -6.683 0.000
3.863 6.683 0.000
-2.586 0.000 8.758
Rb Tm Np Te
2 1 2 6
direct
0.167 0.833 0.000 Rb
0.833 0.167 0.000 Rb
0.000 0.000 0.500 Tm
0.333 0.667 0.500 Np
0.667 0.333 0.500 Np
0.067 0.396 0.696 Te
0.266 0.266 0.304 Te
0.396 0.067 0.696 Te
0.604 0.933 0.304 Te
0.734 0.734 0.696 Te
0.933 0.604 0.304 Te
```

## Properties
- ΔE_f (raw): -0.988 eV per atom
- Electronic total energy: -62.011 eV/cell
- Total moment: 7.00 μB/f.u.
- Space-group type: C2/m, No. 12
- D(E_F): 16.4 states/eV per cell